1.
This record from Alexandria via LeMat-Bulk describes an optimized crystal structure of CaMg30CdO32. The functional is PBE-GGA.

Its uncorrected formation energy is -2.6356 eV/atom. The calculation puts the calculated density at 3.64 g cm⁻³. As for the density of states at the Fermi level: 0.00 states/eV/cell.

CIF file:
```
data_CaMg30CdO32
_symmetry_space_group_name_H-M 'P 4/m m m'
_symmetry_Int_Tables_number 123
_symmetry_space_group_name_Hall '-P 4 2'
_cell_length_a 8.600
_cell_length_b 8.600
_cell_length_c 8.601
_cell_angle_alpha 90.00
_cell_angle_beta 90.00
_cell_angle_gamma 90.00
loop_
_atom_site_label
_atom_site_fract_x
_atom_site_fract_y
_atom_site_fract_z
_atom_site_occupancy
Ca1 0.000 0.000 0.000 1
Mg1 0.000 0.000 0.500 1
Mg2 0.000 0.253 0.253 1
Mg3 0.000 0.500 0.000 1
Mg4 0.000 0.500 0.500 1
Mg5 0.248 0.500 0.253 1
Mg6 0.250 0.250 0.500 1
Mg7 0.251 0.251 0.000 1
Mg8 0.500 0.500 0.500 1
Cd1 0.500 0.500 0.000 1
O1 0.000 0.000 0.262 1
O2 0.000 0.252 0.500 1
O3 0.000 0.261 0.000 1
O4 0.000 0.500 0.254 1
O5 0.238 0.500 0.000 1
O6 0.249 0.500 0.500 1
O7 0.250 0.250 0.250 1
O8 0.500 0.500 0.264 1
```


2.
This record from Alexandria via LeMat-Bulk describes an optimized crystal structure of CaMgCdO3. The functional is PBE-GGA.

Its uncorrected formation energy is -2.0874 eV/atom. The calculation puts the calculated density at 4.42 g cm⁻³.

CIF file:
```
data_CaMgCdO3
_symmetry_space_group_name_H-M 'P 1 21/m 1'
_symmetry_Int_Tables_number 11
_symmetry_space_group_name_Hall '-P 2yb'
_cell_length_a 5.856
_cell_length_b 3.091
_cell_length_c 9.348
_cell_angle_alpha 90.00
_cell_angle_beta 93.46
_cell_angle_gamma 90.00
loop_
_atom_site_label
_atom_site_fract_x
_atom_site_fract_y
_atom_site_fract_z
_atom_site_occupancy
Ca1 0.161 0.250 0.237 1
Mg1 0.362 0.750 0.897 1
Cd1 0.316 0.250 0.596 1
O1 0.153 0.250 0.802 1
O2 0.285 0.750 0.423 1
O3 0.382 0.750 0.112 1
```


3.
This record from Alexandria via LeMat-Bulk describes an optimized crystal structure of CaMg6CdO8. The functional is PBE-GGA.

Its uncorrected formation energy is -2.3967 eV/atom. The calculation puts the calculated density at 4.03 g cm⁻³. As for the density of states at the Fermi level: 0.00 states/eV/cell.

CIF file:
```
data_CaMg6CdO8
_symmetry_space_group_name_H-M 'P 4/m m m'
_symmetry_Int_Tables_number 123
_symmetry_space_group_name_Hall '-P 4 2'
_cell_length_a 4.451
_cell_length_b 4.451
_cell_length_c 8.877
_cell_angle_alpha 90.00
_cell_angle_beta 90.00
_cell_angle_gamma 90.00
loop_
_atom_site_label
_atom_site_fract_x
_atom_site_fract_y
_atom_site_fract_z
_atom_site_occupancy
Ca1 0.000 0.000 0.000 1
Mg1 0.000 0.500 0.252 1
Mg2 0.500 0.500 0.000 1
Mg3 0.500 0.500 0.500 1
Cd1 0.000 0.000 0.500 1
O1 0.000 0.000 0.249 1
O2 0.000 0.500 0.000 1
O3 0.000 0.500 0.500 1
O4 0.500 0.500 0.251 1
```


4.
This record from Alexandria via LeMat-Bulk describes an optimized crystal structure of CaMg6CdO8. The functional is PBE-GGA.

Its uncorrected formation energy is -2.4325 eV/atom. The calculation puts the calculated density at 4.04 g cm⁻³. As for the density of states at the Fermi level: 0.00 states/eV/cell.

CIF file:
```
data_CaMg6CdO8
_symmetry_space_group_name_H-M 'P 4/m m m'
_symmetry_Int_Tables_number 123
_symmetry_space_group_name_Hall '-P 4 2'
_cell_length_a 4.452
_cell_length_b 4.452
_cell_length_c 8.831
_cell_angle_alpha 90.00
_cell_angle_beta 90.00
_cell_angle_gamma 90.00
loop_
_atom_site_label
_atom_site_fract_x
_atom_site_fract_y
_atom_site_fract_z
_atom_site_occupancy
Ca1 0.000 0.000 0.000 1
Mg1 0.000 0.000 0.500 1
Mg2 0.000 0.500 0.263 1
Mg3 0.500 0.500 0.500 1
Cd1 0.500 0.500 0.000 1
O1 0.000 0.000 0.265 1
O2 0.000 0.500 0.000 1
O3 0.000 0.500 0.500 1
O4 0.500 0.500 0.268 1
```